{"formula": "Ac2CeNpN4", "functional": "PBE", "state": "optimized geometry", "cell": [[-2.9008, -1.0370, 1.9550], [1.4484, -6.0260, -1.0471], [2.9609, 1.9022, 5.4022]], "species": ["N", "N", "N", "N", "Ce", "Ac", "Ac", "Np"], "fractional_positions": [[0.0000, 0.2438, 0.8028], [0.0000, 0.7562, 0.1972], [0.5000, 0.7796, 0.8035], [0.5000, 0.2204, 0.1965], [0.5000, 0.5000, 0.0000], [0.5000, 0.0000, 0.5000], [0.0000, 0.5000, 0.5000], [0.0000, 0.0000, 0.0000]], "raw_formation_energy_ev_per_atom": -1.17, "total_energy_ev_per_cell": -69.721, "volume_a3_per_atom": 17.53}